LaFe2Rh | GGA-PBE | optimized geometry

abc: 2.8562 2.8562 30.5721
angles: 90.00 90.00 120.00
Space group R-3m (No. 166, hexagonal axes)
One atom of each set of equivalent atoms:
1 La 0.0000 0.0000 0.0000 (multiplicity 3)
2 Fe 0.0000 0.0000 0.4219 (multiplicity 6)
3 Rh 0.0000 0.0000 0.5000 (multiplicity 3)

V, Å³/atom: 18.00
E_form, meV/atom: 879

La2FeRh | GGA-PBE | optimized geometry

abc: 6.9496 6.9496 6.9496
angles: 90.00 90.00 90.00
Space group F-43m (No. 216)
One atom of each set of equivalent atoms:
1 La 0.0000 0.0000 0.0000 (multiplicity 4)
2 La 0.2500 0.2500 0.2500 (multiplicity 4)
3 Fe 0.0000 0.0000 0.5000 (multiplicity 4)
4 Rh 0.2500 0.2500 0.7500 (multiplicity 4)

V, Å³/atom: 20.98
Energy above the most stable polymorph in this dataset, meV/atom: 255
E_form, meV/atom: 6

LaFeRh3 | GGA-PBE | optimized geometry

abc: 4.8387 4.8387 4.8387
angles: 90.00 90.00 90.00
Space group Pm-3m (No. 221)
One atom of each set of equivalent atoms:
1 La 0.0000 0.0000 0.0000 (multiplicity 1)
2 Fe 0.5000 0.5000 0.5000 (multiplicity 1)
3 Rh 0.0000 0.0000 0.5000 (multiplicity 3)

V, Å³/atom: 22.66
Energy above the most stable polymorph in this dataset, meV/atom: 1653
E_form, meV/atom: 1683

La2FeRh | GGA-PBE | optimized geometry

abc: 4.0916 4.1964 11.3067
angles: 90.00 90.00 90.00
Space group Amm2 (No. 38)
One atom of each set of equivalent atoms:
1 La 0.0000 0.0000 0.0000 (multiplicity 2)
2 La 0.5000 0.0000 0.2856 (multiplicity 2)
3 Fe 0.5000 0.0000 0.5761 (multiplicity 2)
4 Rh 0.0000 0.0000 0.7113 (multiplicity 2)

V, Å³/atom: 24.27
Energy above the most stable polymorph in this dataset, meV/atom: 0
E_form, meV/atom: -249

LaFeRh2 | GGA-PBE | optimized geometry

abc: 4.2439 4.2439 15.0980
angles: 90.00 90.00 120.00
Space group R-3m (No. 166, hexagonal axes)
One atom of each set of equivalent atoms:
1 La 0.0000 0.0000 0.0000 (multiplicity 3)
2 Fe 0.0000 0.0000 0.5000 (multiplicity 3)
3 Rh 0.0000 0.0000 0.2084 (multiplicity 6)

V, Å³/atom: 19.62
Energy above the most stable polymorph in this dataset, meV/atom: 0
E_form, meV/atom: -300

LaFe2Rh | GGA-PBE | optimized geometry

abc: 4.1591 4.8243 6.9934
angles: 90.00 90.00 90.00
Space group Imm2 (No. 44)
One atom of each set of equivalent atoms:
1 La 0.0000 0.0000 0.0000 (multiplicity 2)
2 Fe 0.0000 0.0000 0.5130 (multiplicity 2)
3 Fe 0.0000 0.5000 0.2172 (multiplicity 2)
4 Rh 0.0000 0.5000 0.7795 (multiplicity 2)

V, Å³/atom: 17.54
E_form, meV/atom: 165

LaFe2Rh2 | GGA-PBE | optimized geometry

abc: 7.5674 7.5674 2.8937
angles: 90.00 90.00 90.00
Space group P4/mbm (No. 127)
One atom of each set of equivalent atoms:
1 La 0.0000 0.0000 0.0000 (multiplicity 2)
2 Fe 0.1125 0.3875 0.0000 (multiplicity 4)
3 Rh 0.1765 0.6765 0.5000 (multiplicity 4)

V, Å³/atom: 16.57
E_form, meV/atom: -48

LaFeRh | GGA-PBE | optimized geometry

abc: 6.3476 6.3476 6.3476
angles: 90.00 90.00 90.00
Space group F-43m (No. 216)
One atom of each set of equivalent atoms:
1 La 0.0000 0.0000 0.0000 (multiplicity 4)
2 Fe 0.2500 0.2500 0.7500 (multiplicity 4)
3 Rh 0.2500 0.2500 0.2500 (multiplicity 4)

V, Å³/atom: 21.31
E_form, meV/atom: 626

La4FeRh | GGA-PBE | optimized geometry

abc: 8.7687 8.7687 8.7687
angles: 90.00 90.00 90.00
Space group F-43m (No. 216)
One atom of each set of equivalent atoms:
1 La 0.1248 0.1248 0.1248 (multiplicity 16)
2 Fe 0.0000 0.0000 0.5000 (multiplicity 4)
3 Rh 0.2500 0.2500 0.7500 (multiplicity 4)

V, Å³/atom: 28.09
E_form, meV/atom: 821

LaFeRh3 | GGA-PBE | optimized geometry

abc: 4.5913 4.5913 4.5913
angles: 90.00 90.00 90.00
Space group Pm-3m (No. 221)
One atom of each set of equivalent atoms:
1 La 0.0000 0.0000 0.0000 (multiplicity 1)
2 Fe 0.5000 0.5000 0.5000 (multiplicity 1)
3 Rh 0.0000 0.5000 0.5000 (multiplicity 3)

V, Å³/atom: 19.36
Energy above the most stable polymorph in this dataset, meV/atom: 0
E_form, meV/atom: 31

LaFeRh2 | GGA-PBE | optimized geometry

abc: 7.3017 4.2146 5.6386
angles: 90.00 115.12 90.00
Space group Cm (No. 8)
One atom of each set of equivalent atoms:
1 La 0.0000 0.0000 0.0000 (multiplicity 2)
2 Fe 0.3095 0.5000 0.4358 (multiplicity 2)
3 Rh 0.2087 0.0000 0.6348 (multiplicity 2)
4 Rh 0.4682 0.0000 0.4107 (multiplicity 2)

V, Å³/atom: 19.64
Energy above the most stable polymorph in this dataset, meV/atom: 93
E_form, meV/atom: -207

LaFeRh2 | GGA-PBE | optimized geometry

abc: 4.4230 4.4230 3.6787
angles: 90.00 90.00 90.00
Space group P4/mmm (No. 123)
One atom of each set of equivalent atoms:
1 La 0.0000 0.0000 0.0000 (multiplicity 1)
2 Fe 0.5000 0.5000 0.0000 (multiplicity 1)
3 Rh 0.0000 0.5000 0.5000 (multiplicity 2)

V, Å³/atom: 17.99
Energy above the most stable polymorph in this dataset, meV/atom: 139
E_form, meV/atom: -161

In eV/atom, the electronic total energy values for the records above are, in order, -6.42, -6.41, -5.41, -6.67, -7.32, -7.14, -7.36, -6.29, -5.10, -7.06, -7.23, -7.18.